Below is a relaxed TaZn2Te crystal, with properties calculated at the PBE level.

Computed properties:
The energy is -4.1515 eV per atom. The calculation puts the magnetic moment at 0.00 μB per cell.

CIF file:
```
data_TaZn2Te
_cell_length_a 2.948
_cell_length_b 4.969
_cell_length_c 5.138
_cell_angle_alpha 90.00
_cell_angle_beta 90.68
_cell_angle_gamma 90.00
_symmetry_space_group_name_H-M 'P 1 m 1'
_symmetry_Int_Tables_number 6
loop_
_symmetry_equiv_pos_as_xyz
'x,y,z'
'x,-y,z'
loop_
_atom_site_label
_atom_site_fract_x
_atom_site_fract_y
_atom_site_fract_z
_atom_site_occupancy
Ta1 0.000 0.000 0.000 1
Zn1 0.498 0.000 0.488 1
Zn2 0.502 0.500 0.213 1
Te1 0.983 0.500 0.728 1
```